1.
Below is an optimized crystal structure of KMgAgO2, with properties calculated at the PBEsol level.

Cell: 4.044 4.044 4.796 Å, 90.00 90.00 90.00°
Positions (direct):
K 0.000 0.000 0.000
Mg 0.000 0.000 0.500
Ag 0.500 0.500 0.000
O 0.000 0.500 0.500
O 0.500 0.000 0.500

## Properties
E_form (uncorrected)	-0.256	eV per atom
total magnetization	0.29	Bohr magnetons per cell

2.
Below is an optimized crystal structure of KMnAg2, with properties calculated at the PBEsol level.

Cell: 3.353 3.353 8.070 Å, 90.00 90.00 90.00°
Positions (direct):
K 0.000 0.000 0.000
Mn 0.500 0.500 0.349
Ag 0.000 0.000 0.505
Ag 0.500 0.500 0.692

## Properties
relative energy among the computed polymorphs	0.55	eV/f.u.
formation energy	0.53	eV per atom
total magnetization	4.24	Bohr magnetons per cell

3.
Below is an optimized crystal structure of K2MnAg, with properties calculated at the PBEsol level.

Cell: 7.653 7.653 7.653 Å, 90.00 90.00 90.00°
Positions (direct):
K 0.000 0.000 0.000
K 0.000 0.500 0.500
K 0.250 0.250 0.250
K 0.250 0.750 0.750
K 0.500 0.000 0.500
K 0.500 0.500 0.000
K 0.750 0.250 0.750
K 0.750 0.750 0.250
Mn 0.000 0.000 0.500
Mn 0.000 0.500 0.000
Mn 0.500 0.000 0.000
Mn 0.500 0.500 0.500
Ag 0.250 0.250 0.750
Ag 0.250 0.750 0.250
Ag 0.750 0.250 0.250
Ag 0.750 0.750 0.750

## Properties
formation energy	0.77	eV per atom
total magnetization	18.16	Bohr magnetons per cell

4.
Below is an optimized crystal structure of KMnAg2, with properties calculated at the PBEsol level.

Cell: 5.220 5.220 2.970 Å, 90.00 90.00 90.00°
Positions (direct):
K 0.000 0.000 0.000
Mn 0.500 0.500 0.000
Ag 0.000 0.500 0.500
Ag 0.500 0.000 0.500

## Properties
relative energy among the computed polymorphs	0.79	eV/f.u.
formation energy	0.59	eV per atom
total magnetization	4.15	Bohr magnetons per cell

5.
Below is an optimized crystal structure of KMnAg2, with properties calculated at the PBEsol level.

Cell: 6.926 6.926 6.926 Å, 90.00 90.00 90.00°
Positions (direct):
K 0.000 0.000 0.000
K 0.000 0.500 0.500
K 0.500 0.000 0.500
K 0.500 0.500 0.000
Mn 0.250 0.250 0.750
Mn 0.250 0.750 0.250
Mn 0.750 0.250 0.250
Mn 0.750 0.750 0.750
Ag 0.000 0.000 0.500
Ag 0.000 0.500 0.000
Ag 0.250 0.250 0.250
Ag 0.250 0.750 0.750
Ag 0.500 0.000 0.000
Ag 0.500 0.500 0.500
Ag 0.750 0.250 0.750
Ag 0.750 0.750 0.250

## Properties
relative energy among the computed polymorphs	1.42	eV/f.u.
formation energy	0.75	eV per atom
total magnetization	17.75	Bohr magnetons per cell

6.
Below is an optimized crystal structure of KMnAg2, with properties calculated at the PBEsol level.

Cell: 3.252 3.252 8.098 Å, 90.00 90.00 90.00°
Positions (direct):
K 0.000 0.000 0.000
Mn 0.000 0.000 0.500
Ag 0.500 0.500 0.322
Ag 0.500 0.500 0.678

## Properties
relative energy among the computed polymorphs	0.00	eV/f.u.
formation energy	0.40	eV per atom
total magnetization	3.97	Bohr magnetons per cell